(1)
GaMo3Se | PBE | relaxed

Calculated values
Space-group type: No. 221
E: -33.76 eV for the cell shown
Uncorrected formation energy: 1.048 eV per atom
Energy relative to the lowest polymorph listed for this composition: 0 meV per atom

Cell lengths 4.5970, 4.5970, 4.5970 Å; angles 90.00, 90.00, 90.00 degrees
With the nearest neighbours (Å) after each atom.
Fractional coordinates of all 5 atoms:
Ga  0.5000  0.5000  0.5000  12 Mo 3.25
Mo  0.0000  0.5000  0.0000  2 Se 2.30
Mo  0.5000  0.0000  0.0000  2 Se 2.30
Mo  0.0000  0.0000  0.5000  2 Se 2.30
Se  0.0000  0.0000  0.0000  6 Mo 2.30

=====

(2)
TcSbPb2 | PBE | relaxed

Calculated values
Space-group type: No. 216
E: -19.26 eV for the cell shown
Uncorrected formation energy: 0.662 eV per atom

Cell lengths 5.1273, 5.1273, 5.1273 Å; angles 60.00, 60.00, 60.00 degrees
With the nearest neighbours (Å) after each atom.
Fractional coordinates of all 4 atoms:
Sb  0.5000  0.5000  0.5000  4 Tc 3.14, 4 Pb 3.14
Pb  0.2500  0.2500  0.2500  4 Pb 3.14, 4 Sb 3.14
Pb  0.0000  0.0000  0.0000  4 Pb 3.14, 4 Tc 3.14
Tc  0.7500  0.7500  0.7500  4 Pb 3.14, 4 Sb 3.14

=====

(3)
La3Pd6Au2 | PBE | relaxed

Calculated values
Space-group type: No. 229
E: -121.45 eV for the cell shown

Cell lengths 8.5188, 8.5188, 8.5188 Å; angles 109.47, 109.47, 109.47 degrees
With the nearest neighbours (Å) after each atom.
Fractional coordinates of all 22 atoms:
La  0.2992  0.0000  0.2992  4 Pd 2.91
La  0.0000  0.7008  0.7008  4 Pd 2.91
La  0.2992  0.2992  0.0000  4 Pd 2.91
La  0.7008  0.7008  0.0000  4 Pd 2.91
La  0.0000  0.2992  0.2992  4 Pd 2.91
La  0.7008  0.0000  0.7008  4 Pd 2.91
Pd  0.6536  0.3464  0.0000  2 Au 2.80, 6 Pd 2.86-3.02, 2 La 2.91
Pd  0.0000  0.3464  0.6536  2 Au 2.80, 6 Pd 2.86-3.02, 2 La 2.91
Pd  0.6536  0.3073  0.6536  2 Au 2.80, 6 Pd 2.86-3.02, 2 La 2.91
Pd  0.3464  0.6927  0.3464  2 Au 2.80, 6 Pd 2.86-3.02, 2 La 2.91
Pd  0.6536  0.6536  0.3073  2 Au 2.80, 6 Pd 2.86-3.02, 2 La 2.91
Pd  0.3464  0.0000  0.6536  2 Au 2.80, 6 Pd 2.86-3.02, 2 La 2.91
Pd  0.3464  0.6536  0.0000  2 Au 2.80, 6 Pd 2.86-3.02, 2 La 2.91
Pd  0.3073  0.6536  0.6536  2 Au 2.80, 6 Pd 2.86-3.02, 2 La 2.91
Pd  0.6927  0.3464  0.3464  2 Au 2.80, 6 Pd 2.86-3.02, 2 La 2.91
Pd  0.6536  0.0000  0.3464  2 Au 2.80, 6 Pd 2.86-3.02, 2 La 2.91
Pd  0.3464  0.3464  0.6927  2 Au 2.80, 6 Pd 2.86-3.02, 2 La 2.91
Pd  0.0000  0.6536  0.3464  2 Au 2.80, 6 Pd 2.86-3.02, 2 La 2.91
Au  0.0000  0.5000  0.0000  6 Pd 2.80
Au  0.0000  0.0000  0.5000  6 Pd 2.80
Au  0.5000  0.0000  0.0000  6 Pd 2.80
Au  0.5000  0.5000  0.5000  6 Pd 2.80

=====

(4)
Ac2NiPd3 | PBE | relaxed

Calculated values
Space-group type: No. 69
E: -67.01 eV for the cell shown

Cell lengths 6.0836, 6.0836, 8.7770 Å; angles 108.31, 108.31, 95.37 degrees
With the nearest neighbours (Å) after each atom.
Fractional coordinates of all 12 atoms:
Ni  0.6669  0.6669  0.3338  3 Pd 2.48-2.49
Ni  0.3331  0.3331  0.6662  3 Pd 2.48-2.49
Ac  0.2500  0.7500  0.5000  8 Pd 3.26-3.27, 4 Ni 3.30
Ac  0.7500  0.2500  0.5000  8 Pd 3.26-3.27, 4 Ni 3.30
Ac  0.7514  0.7514  0.0000  10 Pd 3.27-3.39, 2 Ni 3.31
Ac  0.2486  0.2486  0.0000  10 Pd 3.27-3.39, 2 Ni 3.31
Pd  0.1744  0.6520  0.8264  1 Ni 2.48, 2 Pd 2.70
Pd  0.8256  0.3480  0.1736  1 Ni 2.48, 2 Pd 2.70
Pd  0.6520  0.1744  0.8264  1 Ni 2.48, 2 Pd 2.70
Pd  0.8271  0.8271  0.6542  1 Ni 2.49, 2 Pd 2.70
Pd  0.3480  0.8256  0.1736  1 Ni 2.48, 2 Pd 2.70
Pd  0.1729  0.1729  0.3458  1 Ni 2.49, 2 Pd 2.70

=====

(5)
AlCrAg2 | PBE | relaxed

Calculated values
Space-group type: No. 122
E: -34.64 eV for the cell shown

Cell lengths 3.8927, 3.8927, 10.0365 Å; angles 78.82, 78.82, 90.00 degrees
With the nearest neighbours (Å) after each atom.
Fractional coordinates of all 8 atoms:
Cr  0.0000  0.0000  0.0000  4 Al 2.75, 4 Ag 2.78
Cr  0.7500  0.2500  0.5000  4 Al 2.75, 4 Ag 2.78
Ag  0.6215  0.1250  0.2500  4 Ag 2.73-2.77, 2 Al 2.77, 2 Cr 2.78
Ag  0.3750  0.3785  0.7500  4 Ag 2.73-2.77, 2 Al 2.77, 2 Cr 2.78
Ag  0.8750  0.8715  0.7500  4 Ag 2.73-2.77, 2 Al 2.77, 2 Cr 2.78
Ag  0.1285  0.6250  0.2500  4 Ag 2.73-2.77, 2 Al 2.77, 2 Cr 2.78
Al  0.2500  0.7500  0.5000  4 Cr 2.75, 4 Ag 2.77
Al  0.5000  0.5000  0.0000  4 Cr 2.75, 4 Ag 2.77

=====

(6)
SIOF2 | PBE | relaxed

Calculated values
Space-group type: No. 123
E: -14.31 eV for the cell shown
Uncorrected formation energy: 0.014 eV per atom
Energy relative to the lowest polymorph listed for this composition: 187 meV per atom

Cell lengths 4.7384, 4.7384, 4.0100 Å; angles 90.00, 90.00, 90.00 degrees
With the nearest neighbours (Å) after each atom.
Fractional coordinates of all 5 atoms:
I  0.0000  0.0000  0.0000  2 O 2.00
O  0.0000  0.0000  0.5000  2 I 2.00
F  0.0000  0.5000  0.0000  2 I 2.37
F  0.5000  0.0000  0.0000  2 I 2.37
S  0.5000  0.5000  0.5000  8 F 3.10, 4 O 3.35

=====

(7)
Na2YP2 | PBE | relaxed

Calculated values
Space-group type: No. 139
E: -22.47 eV for the cell shown

Cell lengths 4.0450, 4.0450, 6.9805 Å; angles 73.16, 73.16, 90.00 degrees
With the nearest neighbours (Å) after each atom.
Fractional coordinates of all 5 atoms:
P  0.4114  0.4114  0.1773  1 P 2.26
P  0.5886  0.5886  0.8227  1 P 2.26
Na  0.2500  0.7500  0.5000  4 Na 2.86, 4 P 2.88
Na  0.7500  0.2500  0.5000  4 Na 2.86, 4 P 2.88
Y  0.0000  0.0000  0.0000  8 P 3.07

=====

(8)
SrNi3Cl | PBE | relaxed

Calculated values
Space-group type: No. 221
E: -19.16 eV for the cell shown
Uncorrected formation energy: 0.343 eV per atom
Energy relative to the lowest polymorph listed for this composition: 0 meV per atom

Cell lengths 4.4269, 4.4269, 4.4269 Å; angles 90.00, 90.00, 90.00 degrees
With the nearest neighbours (Å) after each atom.
Fractional coordinates of all 5 atoms:
Cl  0.0000  0.0000  0.0000  6 Ni 2.21
Sr  0.5000  0.5000  0.5000  12 Ni 3.13
Ni  0.5000  0.0000  0.0000  2 Cl 2.21
Ni  0.0000  0.0000  0.5000  2 Cl 2.21
Ni  0.0000  0.5000  0.0000  2 Cl 2.21

=====

(9)
Cs2InSb2 | PBE | relaxed

Calculated values
Space-group type: No. 127
E: -28.03 eV for the cell shown
Uncorrected formation energy: -0.265 eV per atom
Energy relative to the lowest polymorph listed for this composition: 102 meV per atom

Cell lengths 8.2264, 8.2264, 6.2930 Å; angles 90.00, 90.00, 90.00 degrees
With the nearest neighbours (Å) after each atom.
Fractional coordinates of all 10 atoms:
Cs  0.6730  0.8270  0.5000  6 Sb 3.93-4.01, 5 Cs 4.02-4.30, 4 In 4.38
Cs  0.1730  0.6730  0.5000  6 Sb 3.93-4.01, 5 Cs 4.02-4.30, 4 In 4.38
Cs  0.8270  0.3270  0.5000  6 Sb 3.93-4.01, 5 Cs 4.02-4.30, 4 In 4.38
Cs  0.3270  0.1730  0.5000  6 Sb 3.93-4.01, 5 Cs 4.02-4.30, 4 In 4.38
Sb  0.8754  0.6246  0.0000  1 Sb 2.90
Sb  0.6246  0.1246  0.0000  1 Sb 2.90
Sb  0.1246  0.3754  0.0000  1 Sb 2.90
Sb  0.3754  0.8754  0.0000  1 Sb 2.90
In  0.0000  0.0000  0.0000  4 Sb 3.25
In  0.5000  0.5000  0.0000  4 Sb 3.25

=====

(10)
SnSbSe3 | PBE | relaxed

Calculated values
Space-group type: No. 11
E: -40.13 eV for the cell shown
Uncorrected formation energy: -0.297 eV per atom
Energy relative to the lowest polymorph listed for this composition: 0 meV per atom

Cell lengths 4.0585, 7.0150, 9.9397 Å; angles 87.91, 90.00, 90.00 degrees
With the nearest neighbours (Å) after each atom.
Fractional coordinates of all 10 atoms:
Se  0.7500  0.4326  0.6552  2 Sb 2.79, 1 Sn 2.83
Se  0.2500  0.5674  0.3448  2 Sb 2.79, 1 Sn 2.83
Se  0.7500  0.0639  0.3432  1 Sb 2.77, 2 Sn 2.81
Se  0.2500  0.2517  0.9996  3 Sn 2.97-2.98, 3 Sb 3.02
Se  0.7500  0.7483  0.0004  3 Sn 2.97-2.98, 3 Sb 3.02
Se  0.2500  0.9361  0.6567  1 Sb 2.77, 2 Sn 2.81
Sb  0.2500  0.5952  0.8066  6 Se 2.77-3.02
Sb  0.7500  0.4048  0.1934  6 Se 2.77-3.02
Sn  0.7500  0.0903  0.8155  6 Se 2.81-2.98
Sn  0.2500  0.9097  0.1845  6 Se 2.81-2.98

=====

(11)
BeCuRu2 | PBE | relaxed

Calculated values
Space-group type: No. 38
E: -26.13 eV for the cell shown

Cell lengths 3.8081, 2.6935, 4.9524 Å; angles 74.22, 90.00, 90.00 degrees
With the nearest neighbours (Å) after each atom.
Fractional coordinates of all 4 atoms:
Ru  0.0000  0.9360  0.0032  1 Be 2.35
Ru  0.5000  0.3051  0.2653  3 Cu 2.53-2.61, 4 Be 2.58, 6 Ru 2.65-2.69
Cu  0.5000  0.5700  0.7347  2 Be 2.22
Be  0.0000  0.6889  0.4968  2 Cu 2.22, 1 Ru 2.35

=====

(12)
In8Hg5Pb | PBE | relaxed

Calculated values
Space-group type: No. 82
E: -26.71 eV for the cell shown

Cell lengths 7.9751, 7.9751, 7.9750 Å; angles 109.01, 109.01, 110.40 degrees
With the nearest neighbours (Å) after each atom.
Fractional coordinates of all 14 atoms:
In  0.1213  0.5297  0.7553  5 Hg 3.11-3.27, 1 Pb 3.27, 1 In 3.42
In  0.4702  0.2255  0.5915  5 Hg 3.11-3.27, 1 Pb 3.27, 1 In 3.42
In  0.1239  0.0466  0.7607  5 Hg 3.11-3.22, 1 Pb 3.28, 2 In 3.29-3.42
In  0.6368  0.8761  0.9227  5 Hg 3.11-3.22, 1 Pb 3.28, 2 In 3.29-3.42
In  0.7745  0.3660  0.2447  5 Hg 3.11-3.27, 1 Pb 3.27, 1 In 3.42
In  0.2860  0.3632  0.2393  5 Hg 3.11-3.22, 1 Pb 3.28, 2 In 3.29-3.42
In  0.9534  0.7140  0.0773  5 Hg 3.11-3.22, 1 Pb 3.28, 2 In 3.29-3.42
In  0.6340  0.8787  0.4085  5 Hg 3.11-3.27, 1 Pb 3.27, 1 In 3.42
Hg  0.5000  0.5000  0.0000  8 In 3.15
Hg  0.7497  0.6293  0.6166  8 In 3.11-3.27
Hg  0.3707  0.9873  0.1204  8 In 3.11-3.27
Hg  0.0127  0.1331  0.3834  8 In 3.11-3.27
Hg  0.8669  0.2503  0.8796  8 In 3.11-3.27
Pb  0.2500  0.7500  0.5000  8 In 3.27-3.28